(1)
## GaPAuO (PBE)

Data for crystalline GaPAuO at its relaxed geometry.

Results
Crystal system: tetragonal
E_tot (eV/atom): -4.39

a = 3.842 Å, b = 3.842 Å, c = 8.811 Å
α = 90.00°, β = 90.00°, γ = 90.00°
Space group P4/nmm (No. 129, origin choice 2)
Unique sites:
Ga: 0.250 0.250 0.093 [2 per cell]
P: 0.250 0.250 0.694 [2 per cell]
Au: 0.250 0.750 0.500 [2 per cell]
O: 0.250 0.750 0.000 [2 per cell]

***

(2)
## Cs2Na2ZnP2 (PBE)

Data for crystalline Cs2Na2ZnP2 at its relaxed geometry.

Results
Crystal system: trigonal
E_tot (eV/atom): -2.62

a = 5.8519 Å, b = 5.8519 Å, c = 24.3469 Å
α = 90.00°, β = 90.00°, γ = 120.00°
Space group R-3m (No. 166, hexagonal axes)
Unique sites:
Cs: 0.0000 0.0000 0.1136 [6 per cell]
Na: 0.0000 0.0000 0.2952 [6 per cell]
Zn: 0.0000 0.0000 0.5000 [3 per cell]
P: 0.0000 0.0000 0.4088 [6 per cell]

***

(3)
## HoMgAgTe2Se (PBE)

Data for crystalline HoMgAgTe2Se at its relaxed geometry.

Results
Crystal system: orthorhombic
M_tot (μB per formula unit): 0.0
E_tot (eV/atom): -3.96

a = 4.117 Å, b = 13.957 Å, c = 10.899 Å
α = 90.00°, β = 90.00°, γ = 90.00°
Space group Cmcm (No. 63)
Unique sites:
Ho: 0.000 0.000 0.000 [4 per cell]
Mg: 0.000 0.254 0.250 [4 per cell]
Ag: 0.000 0.484 0.750 [4 per cell]
Te: 0.000 0.347 0.567 [8 per cell]
Se: 0.000 0.107 0.750 [4 per cell]

***

Let's list V in order: 130; 722; 626 Å³ per cell.